A plane-wave DFT calculation with PBE-GGA was carried out for a relaxed Ba7Sr3Ca2 crystal.

Results
ρ (g/cm³): 2.90
Formation energy from the elements (eV/atom): 0.16

a b c (Å): 6.909 7.539 14.353
angles (deg): 88.06 90.00 90.00
Sites, in units of the cell vectors:
Ba: 0.500 0.765 0.438
Ba: 0.500 0.235 0.562
Ba: 0.000 0.535 0.176
Ba: 0.000 0.000 0.000
Ba: 0.000 0.465 0.824
Ba: 0.500 0.071 0.843
Ba: 0.500 0.929 0.157
Sr: 0.500 0.500 0.000
Sr: 0.000 0.072 0.347
Sr: 0.000 0.928 0.653
Ca: 0.500 0.349 0.284
Ca: 0.500 0.651 0.716

A plane-wave DFT calculation with PBE-GGA was carried out for a relaxed BaSrCa3 crystal.

Results
ρ (g/cm³): 2.07
Formation energy from the elements (eV/atom): 0.56

a b c (Å): 6.522 6.522 6.522
angles (deg): 90.00 90.00 90.00
Last column: magnetic moment on the atom in μB.
Sites, in units of the cell vectors:
Sr: 0.000 0.000 0.000  0.26
Ca: 0.000 0.500 0.000  0.13
Ca: 0.000 0.000 0.500  0.19
Ca: 0.500 0.000 0.000  0.09
Ba: 0.500 0.500 0.500  0.06

A plane-wave DFT calculation with PBE-GGA was carried out for a relaxed BaSr8Ca5 crystal.

Results
ρ (g/cm³): 2.34
Formation energy from the elements (eV/atom): 0.14

a b c (Å): 9.865 9.865 9.865
angles (deg): 111.33 105.80 111.33
Sites, in units of the cell vectors:
Ba: 0.250 0.500 0.750
Sr: 0.159 0.742 0.079
Sr: 0.921 0.081 0.664
Sr: 0.726 0.254 0.329
Sr: 0.671 0.396 0.925
Sr: 0.528 0.604 0.274
Sr: 0.583 0.919 0.841
Sr: 0.336 0.258 0.417
Sr: 0.075 0.746 0.472
Ca: 0.045 0.324 0.133
Ca: 0.867 0.912 0.192
Ca: 0.808 0.676 0.720
Ca: 0.500 0.000 0.500
Ca: 0.280 0.088 0.955

> What is the formula in the first record?

Ba7Sr3Ca2